Cr3Se: PBEsol geometry, SCAN.

## Properties
energy above the most stable polymorph in this dataset: 175 meV per atom
total magnetic moment: 0.8 Bohr magnetons per cell
raw total energy: -74.029 eV/cell
formation energy from raw total energies: 1.203 eV/f.u.

Unit cell a=3.4319 b=3.4319 c=4.7392 alpha=111.23 beta=111.23 gamma=90.00
With the nearest neighbours (Å) after each atom.
Element x y z (fractional)
1 Cr 0.7500 0.2500 0.5000  8 Cr 2.43-2.66, 4 Se 2.66
2 Cr 0.5000 0.5000 0.0000  4 Se 2.43, 8 Cr 2.66
3 Cr 0.2500 0.7500 0.5000  8 Cr 2.43-2.66, 4 Se 2.66
4 Se 0.0000 0.0000 0.0000  12 Cr 2.43-2.66